[1]
First-principles (PBE) data for a relaxed structure of SrCrRe3, as listed in the Alexandria database.

Cell lengths 4.679, 4.679, 4.679 Å; angles 90.00, 90.00, 90.00 degrees
Sites, in units of the cell vectors:
Sr (0.000, 0.000, 0.000)
Cr (0.500, 0.500, 0.500)
Re (0.000, 0.000, 0.500)
Re (0.000, 0.500, 0.000)
Re (0.500, 0.000, 0.000)

Results
Formation enthalpy at 0 K in meV per atom: 4023
DOS(E_F) in states/eV per atom: 1.508
SG: Pm-3m, No. 221
E in eV for the cell shown: -28.5
Offset from the most stable computed form in meV per atom: 2693



[2]
First-principles (PBE) data for a relaxed structure of Sr2Cr2Re, as listed in the Alexandria database.

Cell lengths 8.625, 8.625, 3.103 Å; angles 90.00, 90.00, 90.00 degrees
Sites, in units of the cell vectors:
Sr (0.214, 0.286, 0.000)
Sr (0.286, 0.786, 0.000)
Sr (0.714, 0.214, 0.000)
Sr (0.786, 0.714, 0.000)
Cr (0.073, 0.573, 0.500)
Cr (0.427, 0.073, 0.500)
Cr (0.573, 0.927, 0.500)
Cr (0.927, 0.427, 0.500)
Re (0.000, 0.000, 0.500)
Re (0.500, 0.500, 0.500)

Results
Formation enthalpy at 0 K in meV per atom: 1484
DOS(E_F) in states/eV per atom: 1.441
SG: P4/mbm, No. 127
E in eV for the cell shown: -55.3
Offset from the most stable computed form in meV per atom: 0



[3]
First-principles (PBE) data for a relaxed structure of Sr2CrRe, as listed in the Alexandria database.

Cell lengths 11.628, 11.628, 11.628 Å; angles 15.59, 15.59, 15.59 degrees
Sites, in units of the cell vectors:
Sr (0.085, 0.085, 0.085)
Sr (0.915, 0.915, 0.915)
Cr (0.500, 0.500, 0.500)
Re (0.000, 0.000, 0.000)

Results
Formation enthalpy at 0 K in meV per atom: 1662
DOS(E_F) in states/eV per atom: 1.033
SG: R-3m, No. 166
E in eV for the cell shown: -18.8
Offset from the most stable computed form in meV per atom: 1062